[1]
The following is a PBE calculation of crystalline TiTcNiRu2 at its relaxed geometry, from the Alexandria database.

abc: 4.3944 4.3944 4.2575
angles: 90.00 90.00 90.00
With the nearest neighbours (Å) after each atom.
Space group P4/mmm (No. 123)
Symmetry-distinct sites (fractional):
Ti (0.0000, 0.0000, 0.0000)  2 Ni 2.13
Tc (0.5000, 0.5000, 0.0000)  8 Ru 3.06, 4 Ti 3.11
Ni (0.0000, 0.0000, 0.5000)  2 Ti 2.13, 4 Ru 2.20
Ru (0.0000, 0.5000, 0.5000)  2 Ni 2.20

## Properties
* E_form: 1150 meV/atom
* final energy: -0.271 hartree per atom
* calculated volume: 16.44 A^3/atom

[2]
The following is a PBE calculation of crystalline TcNi2RuW at its relaxed geometry, from the Alexandria database.

abc: 4.4638 4.4638 4.5944
angles: 90.00 90.00 90.00
With the nearest neighbours (Å) after each atom.
Space group P4/mmm (No. 123)
Symmetry-distinct sites (fractional):
Tc (0.0000, 0.0000, 0.0000)  2 W 2.30
Ni (0.0000, 0.5000, 0.5000)  2 W 2.23
Ru (0.5000, 0.5000, 0.0000)  4 Tc 3.16, 8 Ni 3.20
W (0.0000, 0.0000, 0.5000)  4 Ni 2.23, 2 Tc 2.30

## Properties
* E_form: 1793 meV/atom
* final energy: -0.259 hartree per atom
* calculated volume: 18.31 A^3/atom

[3]
The following is a PBE calculation of crystalline ZnTcNiRu at its relaxed geometry, from the Alexandria database.

abc: 6.0040 6.0040 6.0040
angles: 90.00 90.00 90.00
With the nearest neighbours (Å) after each atom.
Space group F-43m (No. 216)
Symmetry-distinct sites (fractional):
Zn (0.0000, 0.0000, 0.0000)  4 Ru 2.60, 4 Ni 2.60
Tc (0.0000, 0.0000, 0.5000)  4 Ru 2.60, 4 Ni 2.60
Ni (0.2500, 0.2500, 0.2500)  4 Tc 2.60, 4 Zn 2.60
Ru (0.2500, 0.2500, 0.7500)  4 Tc 2.60, 4 Zn 2.60

## Properties
* E_form: 127 meV/atom
* final energy: -0.241 hartree per atom
* calculated volume: 13.53 A^3/atom

[4]
The following is a PBE calculation of crystalline Ni2TeRu at its relaxed geometry, from the Alexandria database.

abc: 3.2378 3.2519 5.4745
angles: 90.00 90.00 90.00
With the nearest neighbours (Å) after each atom.
Space group Pmm2 (No. 25)
Symmetry-distinct sites (fractional):
Ni (0.0000, 0.0000, 0.0000)  1 Ru 2.53, 4 Ni 2.55, 4 Te 2.72
Ni (0.5000, 0.5000, 0.2015)  4 Ni 2.55, 1 Te 2.57, 4 Ru 2.70
Te (0.5000, 0.5000, 0.7325)  5 Ni 2.57-2.72, 4 Ru 2.73
Ru (0.0000, 0.0000, 0.4621)  5 Ni 2.53-2.70, 4 Te 2.73

## Properties
* final energy: -0.212 hartree per atom
* calculated volume: 14.41 A^3/atom
* E_form (uncorrected): 21.5 kJ per mole of atoms

[5]
The following is a PBE calculation of crystalline Ni2TeRu at its relaxed geometry, from the Alexandria database.

abc: 3.8279 3.8279 7.8400
angles: 90.00 90.00 90.00
With the nearest neighbours (Å) after each atom.
Space group I4/mmm (No. 139)
Symmetry-distinct sites (fractional):
Ni (0.0000, 0.5000, 0.2500)  4 Ni 2.71, 4 Ru 2.74, 4 Te 2.74
Te (0.0000, 0.0000, 0.0000)  4 Ru 2.71, 8 Ni 2.74
Ru (0.0000, 0.0000, 0.5000)  4 Te 2.71, 8 Ni 2.74

## Properties
* final energy: -0.210 hartree per atom
* calculated volume: 14.36 A^3/atom
* E_form (uncorrected): 28.0 kJ per mole of atoms

[6]
The following is a PBE calculation of crystalline Ni2TeRu at its relaxed geometry, from the Alexandria database.

abc: 2.9643 2.9643 24.1081
angles: 90.00 90.00 120.00
With the nearest neighbours (Å) after each atom.
Space group R-3m (No. 166, hexagonal axes)
Symmetry-distinct sites (fractional):
Ni (0.0000, 0.0000, 0.2468)  3 Ru 2.58, 3 Te 2.70
Te (0.0000, 0.0000, 0.0000)  6 Ni 2.70, 6 Te 2.96
Ru (0.0000, 0.0000, 0.5000)  6 Ni 2.58

## Properties
* final energy: -0.201 hartree per atom
* calculated volume: 15.29 A^3/atom
* E_form (uncorrected): 51.6 kJ per mole of atoms

Number 2 is which compound?
TcNi2RuW